KTaIn | PBE | relaxed

```
KTaIn
1.0
-7.840 3.561 1.619
-8.281 -0.456 2.827
8.696 -1.038 -0.279
In K Ta
1 1 1
Cartesian
-0.239 0.046 0.066 In
-5.447 1.049 1.502 K
-10.435 2.010 2.878 Ta
```

Values from the calculation:
ΔE to the lowest computed polymorph = 0.0 meV/atom
total moment = 0.29 μB/cell
final energy = -13.64 eV for the cell shown